## 1
VASP calculation (PBE) on a relaxed structure of BiHPd2Au.

Theoretical density = 13.12 g cm⁻³
Magnetic moment = 0.0 μB/f.u.

Lattice parameters (Å, degrees): 4.4291 4.4291 3.9999 90.00 90.00 90.00
Space group P4/mmm (No. 123)
One atom of each set of equivalent atoms:
Bi 0.0000 0.0000 0.0000 (multiplicity 1)
H 0.5000 0.5000 0.5000 (multiplicity 1)
Pd 0.0000 0.5000 0.5000 (multiplicity 2)
Au 0.5000 0.5000 0.0000 (multiplicity 1)

---

## 2
VASP calculation (PBE) on a relaxed structure of BiHPd2Au.

Theoretical density = 12.84 g cm⁻³
Magnetic moment = 0.0 μB/f.u.

Lattice parameters (Å, degrees): 4.1196 4.1196 4.7219 90.00 90.00 90.00
Space group P4/mmm (No. 123)
One atom of each set of equivalent atoms:
Bi 0.0000 0.0000 0.0000 (multiplicity 1)
H 0.0000 0.0000 0.5000 (multiplicity 1)
Pd 0.0000 0.5000 0.5000 (multiplicity 2)
Au 0.5000 0.5000 0.0000 (multiplicity 1)

---

1 is preferred energetically. Next in line: 63 meV/atom higher.

---

## 1
VASP calculation (PBE) on a relaxed structure of Bi2HRhAu.

Theoretical density = 12.68 g cm⁻³
Magnetic moment = 0.0 μB/f.u.

Lattice parameters (Å, degrees): 5.2284 5.2284 3.4451 90.00 90.00 90.00
Space group P4/mmm (No. 123)
One atom of each set of equivalent atoms:
Bi 0.0000 0.5000 0.0000 (multiplicity 2)
H 0.0000 0.0000 0.0000 (multiplicity 1)
Rh 0.0000 0.0000 0.5000 (multiplicity 1)
Au 0.5000 0.5000 0.5000 (multiplicity 1)

---

## 2
VASP calculation (PBE) on a relaxed structure of Bi2HRhAu.

Theoretical density = 11.85 g cm⁻³
Magnetic moment = 0.0 μB/f.u.

Lattice parameters (Å, degrees): 5.4381 5.4381 3.4055 90.00 90.00 90.00
Space group P4/mmm (No. 123)
One atom of each set of equivalent atoms:
Bi 0.0000 0.5000 0.0000 (multiplicity 2)
H 0.0000 0.0000 0.5000 (multiplicity 1)
Rh 0.0000 0.0000 0.0000 (multiplicity 1)
Au 0.5000 0.5000 0.5000 (multiplicity 1)

---

1 is preferred energetically. Next in line: 8 meV/atom higher.

---

## 1
VASP calculation (PBE) on a relaxed structure of Hf2Bi2Au.

Theoretical density = 13.24 g cm⁻³
Magnetic moment = 0.0 μB/f.u.

Lattice parameters (Å, degrees): 7.7206 7.7206 4.0886 90.00 90.00 90.00
Space group P4/mbm (No. 127)
One atom of each set of equivalent atoms:
Hf 0.1437 0.3563 0.0000 (multiplicity 4)
Bi 0.1586 0.6586 0.5000 (multiplicity 4)
Au 0.0000 0.0000 0.0000 (multiplicity 2)

---

## 2
VASP calculation (PBE) on a relaxed structure of Hf2Bi2Au.

Theoretical density = 13.14 g cm⁻³
Magnetic moment = 0.0 μB/f.u.

Lattice parameters (Å, degrees): 8.0527 8.0527 3.7870 90.00 90.00 90.00
Space group P4/mbm (No. 127)
One atom of each set of equivalent atoms:
Hf 0.1384 0.3616 0.0000 (multiplicity 4)
Bi 0.1577 0.6577 0.5000 (multiplicity 4)
Au 0.0000 0.0000 0.5000 (multiplicity 2)

---

1 is preferred energetically. Next in line: 250 meV/atom higher.

---

## 1
VASP calculation (PBE) on a relaxed structure of HfBi3Au.

Theoretical density = 9.58 g cm⁻³
Magnetic moment = 0.0 μB/f.u.

Lattice parameters (Å, degrees): 5.5798 5.5798 5.5798 90.00 90.00 90.00
Space group Pm-3m (No. 221)
One atom of each set of equivalent atoms:
Hf 0.0000 0.0000 0.0000 (multiplicity 1)
Bi 0.0000 0.0000 0.5000 (multiplicity 3)
Au 0.5000 0.5000 0.5000 (multiplicity 1)

---

## 2
VASP calculation (PBE) on a relaxed structure of HfBi3Au.

Theoretical density = 10.20 g cm⁻³
Magnetic moment = 0.0 μB/f.u.

Lattice parameters (Å, degrees): 5.4653 5.4653 5.4653 90.00 90.00 90.00
Space group Pm-3m (No. 221)
One atom of each set of equivalent atoms:
Hf 0.0000 0.0000 0.0000 (multiplicity 1)
Bi 0.0000 0.5000 0.5000 (multiplicity 3)
Au 0.5000 0.5000 0.5000 (multiplicity 1)

---

1 is preferred energetically. Next in line: 309 meV/atom higher.